This record from Alexandria describes a relaxed structure of Co2Ni2Pd. The functional is PBE.

Values from the calculation:
The crystal system is tetragonal. The calculation puts the calculated formation energy at 12.7 kJ/mol of atoms.

Lattice parameters (Å, degrees): 6.8605 6.8605 2.5935 90.00 90.00 90.00
Closest atoms and distances in Å follow each position.
Atoms (fractional coordinates):
Ni  0.1718  0.6718  0.5000  6 Co 2.39-2.42, 2 Ni 2.59
Ni  0.6718  0.8282  0.5000  6 Co 2.39-2.42, 2 Ni 2.59
Ni  0.8282  0.3282  0.5000  6 Co 2.39-2.42, 2 Ni 2.59
Ni  0.3282  0.1718  0.5000  6 Co 2.39-2.42, 2 Ni 2.59
Co  0.3782  0.8782  0.0000  3 Co 2.36-2.59, 6 Ni 2.39-2.42
Co  0.8782  0.6218  0.0000  3 Co 2.36-2.59, 6 Ni 2.39-2.42
Co  0.6218  0.1218  0.0000  3 Co 2.36-2.59, 6 Ni 2.39-2.42
Co  0.1218  0.3782  0.0000  3 Co 2.36-2.59, 6 Ni 2.39-2.42
Pd  0.0000  0.0000  0.0000  2 Pd 2.59, 4 Co 2.73, 8 Ni 2.85
Pd  0.5000  0.5000  0.0000  2 Pd 2.59, 4 Co 2.73, 8 Ni 2.85